(one)
Crystalline Tb2Pm3Y2 at its relaxed geometry, computed with PBE-GGA.

Output
DOS at the Fermi energy (states/eV per cell): 9.10
Symmetry: No. 12

extended XYZ file:
```
7
Lattice="3.545 -0.421 0.479 -0.718 11.742 2.088 1.163 1.195 6.007" Properties=species:S:1:pos:R:3 pbc="T T T"
Pm 1.937 7.369 5.687
Tb 0.669 8.452 2.480
Y 0.557 10.691 5.291
Pm 0.000 0.000 0.000
Tb 3.321 4.063 6.093
Y 3.433 1.824 3.282
Pm 2.053 5.146 2.887
```

=====

(two)
Crystalline Tb2Pm3Y2 at its relaxed geometry, computed with PBE-GGA.

Output
DOS at the Fermi energy (states/eV per cell): 11.18
Symmetry: No. 12

extended XYZ file:
```
7
Lattice="3.536 0.000 0.000 0.000 8.562 -0.794 -1.768 -3.526 8.077" Properties=species:S:1:pos:R:3 pbc="T T T"
Pm 0.000 5.353 2.796
Y 1.768 3.273 5.194
Tb 0.000 -2.294 6.956
Tb 1.768 7.330 0.327
Pm 0.000 4.281 -0.397
Pm 1.768 -0.317 4.487
Y 0.000 1.763 2.089
```

=====

Energetically preferred structure: (one) | next structure: +90 meV/atom

=====

(one)
Crystalline Tb2PmY7 at its relaxed geometry, computed with PBE-GGA.

Output
DOS at the Fermi energy (states/eV per cell): 14.09
Symmetry: No. 65

extended XYZ file:
```
10
Lattice="-0.743 -4.551 -3.262 -3.945 -4.367 6.992 -4.785 5.037 -5.938" Properties=species:S:1:pos:R:3 pbc="T T T"
Y -2.017 -1.064 -2.947
Y -4.132 -2.281 4.123
Pm 0.000 0.000 0.000
Tb -4.566 -3.851 1.523
Y -7.456 -2.818 0.739
Y -4.737 -1.941 -1.104
Y -7.651 -0.632 -2.267
Y -1.822 -3.250 0.059
Tb -4.907 -0.031 -3.730
Y -4.599 2.950 -3.069
```

=====

(two)
Crystalline Tb2PmY7 at its relaxed geometry, computed with PBE-GGA.

Output
DOS at the Fermi energy (states/eV per cell): 20.63
Symmetry: No. 65

extended XYZ file:
```
10
Lattice="3.456 0.000 0.000 0.000 10.478 -10.896 0.000 -4.944 14.286" Properties=species:S:1:pos:R:3 pbc="T T T"
Y 1.728 2.626 5.085
Tb 1.728 -1.755 9.079
Y 1.728 2.767 1.695
Pm 0.000 0.000 0.000
Y 0.000 5.696 -3.088
Y 0.000 -0.162 6.477
Tb 1.728 7.290 -5.689
Y 1.728 5.724 0.028
Y 1.728 -0.189 3.361
Y 1.728 2.908 -1.696
```

=====

Energetically preferred structure: (two) | next structure: +481 meV/atom

=====

(one)
Crystalline TbPm7Y2 at its relaxed geometry, computed with PBE-GGA.

Output
DOS at the Fermi energy (states/eV per cell): 16.06
Symmetry: No. 65

extended XYZ file:
```
10
Lattice="-1.682 -2.134 2.235 -7.993 -0.621 -6.607 6.757 -7.589 -2.161" Properties=species:S:1:pos:R:3 pbc="T T T"
Pm -3.203 -2.884 -5.163
Pm -3.066 -2.267 -1.702
Y 3.435 -7.484 -1.791
Pm 1.967 -5.326 -3.605
Pm -1.459 -5.172 -3.266
Tb 0.000 0.000 0.000
Pm 0.148 -8.077 -4.830
Pm -3.669 -6.273 -5.981
Pm 0.751 -4.070 -0.552
Y -6.353 -2.860 -4.742
```

=====

(two)
Crystalline TbPm7Y2 at its relaxed geometry, computed with PBE-GGA.

Output
DOS at the Fermi energy (states/eV per cell): 15.13
Symmetry: No. 65

extended XYZ file:
```
10
Lattice="5.413 0.000 0.000 0.000 9.712 -0.884 0.000 -5.171 8.268" Properties=species:S:1:pos:R:3 pbc="T T T"
Pm 2.707 -0.798 2.322
Pm 0.000 6.750 0.937
Pm 2.707 2.109 7.049
Pm 2.707 2.433 0.335
Pm 2.707 2.271 3.692
Tb 0.000 0.000 0.000
Pm 0.000 -2.209 6.447
Pm 2.707 5.339 5.062
Y 2.707 5.351 1.798
Y 2.707 -0.809 5.586
```

=====

Energetically preferred structure: (one) | next structure: +257 meV/atom

=====

(one)
Crystalline Tb2Pm3Y4 at its relaxed geometry, computed with PBE-GGA.

Output
DOS at the Fermi energy (states/eV per cell): 11.57
Symmetry: No. 12

extended XYZ file:
```
9
Lattice="-0.421 0.668 3.509 6.092 -0.818 -0.957 7.851 12.977 -1.530" Properties=species:S:1:pos:R:3 pbc="T T T"
Tb 5.656 2.542 0.194
Pm 8.284 6.912 -0.323
Pm 5.238 5.914 1.345
Y 8.275 4.168 2.042
Y 2.621 1.618 1.849
Tb 7.866 10.285 0.827
Pm 0.000 0.000 0.000
Y 5.247 8.659 -1.020
Y 10.901 11.209 -0.828
```

=====

(two)
Crystalline Tb2Pm3Y4 at its relaxed geometry, computed with PBE-GGA.

Output
DOS at the Fermi energy (states/eV per cell): 26.99
Symmetry: No. 15

extended XYZ file:
```
18
Lattice="-5.288 0.301 -3.075 -0.360 -5.092 -10.140 -5.961 -9.615 -0.953" Properties=species:S:1:pos:R:3 pbc="T T T"
Y -2.962 -4.787 -2.174
Pm -5.594 -2.684 -3.218
Tb -6.482 -4.708 -8.330
Y -3.657 -6.294 -10.700
Pm -9.802 -12.495 -10.613
Pm -7.676 -7.572 -6.951
Tb -5.395 -6.116 -4.238
Y -7.504 -10.982 -7.993
Pm -3.932 -6.834 -7.218
Y -4.104 -3.424 -6.176
Y -7.952 -8.112 -3.469
Pm -6.015 -11.722 -10.950
Tb -6.213 -8.290 -9.930
Pm -1.807 -1.912 -3.555
Tb -5.127 -9.698 -5.838
Y -10.358 -9.421 -5.580
Y -1.250 -4.985 -8.588
Y -8.647 -9.619 -11.994
```

=====

Energetically preferred structure: (one) | next structure: +81 meV/atom

=====

(one)
Crystalline Tb5Pm3Y2 at its relaxed geometry, computed with PBE-GGA.

Output
DOS at the Fermi energy (states/eV per cell): 37.52
Symmetry: No. 15

extended XYZ file:
```
20
Lattice="9.100 -1.704 -2.681 -2.977 8.651 -2.819 -0.497 -0.393 9.495" Properties=species:S:1:pos:R:3 pbc="T T T"
Tb 3.177 6.312 -1.670
Tb 5.445 3.179 -3.133
Tb 3.440 0.974 2.395
Y -2.751 8.397 -0.404
Y 5.664 1.013 -0.229
Tb -0.838 2.152 4.450
Pm 5.965 0.301 4.442
Tb 0.180 3.375 7.128
Tb -0.244 3.121 1.088
Tb 5.869 3.433 2.907
Tb 6.464 4.402 -0.455
Tb 2.185 5.580 1.600
Pm 3.254 6.865 4.413
Pm 2.432 3.469 4.338
Y 8.376 -1.843 4.399
Tb 2.449 0.242 5.665
Pm 3.193 3.085 -0.343
Pm 2.371 -0.311 -0.418
Pm -0.339 6.253 -0.447
Y -0.038 5.542 4.225
```

=====

(two)
Crystalline Tb5Pm3Y2 at its relaxed geometry, computed with PBE-GGA.

Output
DOS at the Fermi energy (states/eV per cell): 31.95
Symmetry: No. 72

extended XYZ file:
```
20
Lattice="-9.543 -0.016 -5.503 -3.386 -7.845 -5.131 -7.934 -5.370 2.748" Properties=species:S:1:pos:R:3 pbc="T T T"
Tb -12.817 -6.619 -5.318
Y -11.527 -11.308 -2.029
Pm -6.577 -4.314 0.392
Y -5.429 -1.444 -1.607
Tb -8.487 -9.887 -1.793
Pm -11.799 -7.666 -1.569
Pm -14.286 -8.917 -8.277
Tb -5.030 -5.214 -2.288
Tb -12.376 -3.344 -6.092
Y -9.336 -1.923 -5.856
Y -15.434 -11.786 -6.278
Tb -15.833 -8.016 -5.597
Tb -13.258 -9.895 -4.544
Tb -10.237 -8.457 -4.275
Pm -9.065 -5.565 -6.316
Tb -7.605 -3.336 -3.341
Tb -8.046 -6.611 -2.567
Pm -7.157 -0.012 -4.127
Pm -2.386 -0.004 -1.376
Tb -10.626 -4.773 -3.610
```

=====

Energetically preferred structure: (one) | next structure: +202 meV/atom

=====

(one)
Crystalline Tb12Pm7Y at its relaxed geometry, computed with PBE-GGA.

Output
DOS at the Fermi energy (states/eV per cell): 36.95
Symmetry: No. 148

extended XYZ file:
```
20
Lattice="-3.983 -6.297 4.701 4.375 1.926 7.401 -6.280 5.392 3.017" Properties=species:S:1:pos:R:3 pbc="T T T"
Pm -2.215 -1.530 2.914
Tb 0.960 1.983 7.052
Pm -2.139 1.957 2.708
Tb -5.135 2.590 4.637
Pm -3.673 2.551 12.206
Pm -6.531 0.804 11.211
Tb -3.647 -2.424 8.959
Tb -2.241 3.445 6.160
Tb -4.990 -0.959 5.387
Pm 0.643 0.216 3.909
Pm -2.944 0.510 7.560
Y 0.000 0.000 0.000
Tb -0.899 1.979 9.733
Tb -5.777 2.234 7.815
Pm -3.749 -0.937 12.412
Tb -6.848 -0.962 8.068
Tb -2.708 -3.380 5.985
Tb -3.180 4.401 9.134
Tb -0.111 -1.213 7.304
Tb -0.753 -1.570 10.482
```

=====

(two)
Crystalline Tb12Pm7Y at its relaxed geometry, computed with PBE-GGA.

Output
DOS at the Fermi energy (states/eV per cell): 26.98
Symmetry: No. 229

extended XYZ file:
```
20
Lattice="-9.228 3.264 0.919 1.495 -3.044 -9.228 1.460 -7.490 6.198" Properties=species:S:1:pos:R:3 pbc="T T T"
Pm -3.884 -2.113 3.559
Tb -1.196 -4.822 4.885
Tb -3.850 -0.996 -0.292
Y 0.000 0.000 0.000
Pm 0.748 -1.522 -4.614
Tb -2.423 -6.274 -1.818
Pm -4.614 1.632 0.460
Pm -3.866 0.110 -4.154
Pm 1.478 -5.267 -1.515
Pm -3.136 -3.635 -1.055
Tb -5.077 -2.448 -6.994
Tb -5.080 -3.603 -3.123
Tb -1.189 -2.559 -2.817
Tb 1.483 -4.149 -5.397
Tb -6.566 1.694 -1.600
Tb 0.293 -8.964 -0.510
Tb -5.084 -4.711 0.707
Tb -1.193 -3.667 1.013
Pm 0.730 -3.745 3.099
Tb -7.756 -3.121 3.287
```

=====

Energetically preferred structure: (one) | next structure: +402 meV/atom